a.
! K2Sr2Hg | Alexandria via LeMat-Bulk | PBE-GGA | relaxed; values from VASP
! ρ in g/cm³: 2.703
! Total magnetization in μB per cell: 0.00
&SYSTEM
  ibrav = 0, nat = 10, ntyp = 3
/
ATOMIC_SPECIES
Sr 87.62 Sr.upf
K 39.10 K.upf
Hg 200.59 Hg.upf
ATOMIC_POSITIONS angstrom
Sr -5.147 -4.364 3.930
Sr -5.201 -1.553 7.555
Sr -2.175 1.193 5.471
Sr -2.121 -1.618 1.846
K -1.222 -5.752 3.939
K -3.009 -5.054 8.081
K -0.585 -1.207 8.479
K 1.202 -1.904 4.338
Hg 0.000 0.000 0.000
Hg -3.661 -1.586 4.700
CELL_PARAMETERS angstrom
-1.888 3.452 7.781
-5.434 -6.623 1.620
5.515 -3.787 3.018



b.
! K2Sr2Hg | Alexandria via LeMat-Bulk | PBE-GGA | relaxed; values from VASP
! ρ in g/cm³: 2.849
! Total magnetization in μB per cell: 0.00
&SYSTEM
  ibrav = 0, nat = 10, ntyp = 3
/
ATOMIC_SPECIES
Sr 87.62 Sr.upf
K 39.10 K.upf
Hg 200.59 Hg.upf
ATOMIC_POSITIONS angstrom
Sr -5.656 -1.582 -3.877
Sr -8.259 1.938 -5.295
Sr -7.254 4.235 -1.436
Sr -4.651 0.715 -0.018
K -4.280 0.761 -6.885
K -5.727 5.096 -5.519
K -3.223 4.660 -1.483
K -1.776 0.325 -2.849
Hg 0.000 0.000 0.000
Hg -3.752 2.710 -4.184
CELL_PARAMETERS angstrom
-4.237 7.723 -0.501
-3.266 -2.302 -7.866
-5.407 -2.768 3.055



Most stable = a



a.
! KTa3Hg | Alexandria via LeMat-Bulk | PBE-GGA | relaxed; values from VASP
! ρ in g/cm³: 12.693
! Total magnetization in μB per cell: 0.00
&SYSTEM
  ibrav = 0, nat = 5, ntyp = 3
/
ATOMIC_SPECIES
K 39.10 K.upf
Hg 200.59 Hg.upf
Ta 180.95 Ta.upf
ATOMIC_POSITIONS angstrom
K 0.000 0.000 0.000
Hg -3.479 -2.072 -0.134
Ta -0.205 -2.259 -0.570
Ta -1.449 -0.325 1.807
Ta -1.825 0.511 -1.371
CELL_PARAMETERS angstrom
-3.649 1.023 -2.742
-0.410 -4.518 -1.140
-2.898 -0.649 3.614



b.
! KTa3Hg | Alexandria via LeMat-Bulk | PBE-GGA | relaxed; values from VASP
! ρ in g/cm³: 9.158
! Total magnetization in μB per cell: 2.19
&SYSTEM
  ibrav = 0, nat = 5, ntyp = 3
/
ATOMIC_SPECIES
K 39.10 K.upf
Hg 200.59 Hg.upf
Ta 180.95 Ta.upf
ATOMIC_POSITIONS angstrom
K 2.608 2.608 2.608
Hg 0.000 0.000 0.000
Ta 0.000 2.608 0.000
Ta 0.000 0.000 2.608
Ta 2.608 0.000 0.000
CELL_PARAMETERS angstrom
5.216 0.000 0.000
0.000 5.216 0.000
0.000 0.000 5.216



Most stable = b



a.
! KTaHg3 | Alexandria via LeMat-Bulk | PBE-GGA | relaxed; values from VASP
! ρ in g/cm³: 8.230
! Total magnetization in μB per cell: 1.31
&SYSTEM
  ibrav = 0, nat = 5, ntyp = 3
/
ATOMIC_SPECIES
K 39.10 K.upf
Hg 200.59 Hg.upf
Ta 180.95 Ta.upf
ATOMIC_POSITIONS angstrom
K -0.592 -4.721 -0.015
Hg 1.912 -1.840 0.710
Hg -1.867 -1.369 1.479
Hg -0.637 -1.512 -2.203
Ta 0.000 0.000 0.000
CELL_PARAMETERS angstrom
-1.273 -3.023 -4.407
3.824 -3.680 1.420
-3.734 -2.738 2.957



b.
! KTaHg3 | Alexandria via LeMat-Bulk | PBE-GGA | relaxed; values from VASP
! ρ in g/cm³: 6.449
! Total magnetization in μB per cell: 3.96
&SYSTEM
  ibrav = 0, nat = 5, ntyp = 3
/
ATOMIC_SPECIES
K 39.10 K.upf
Hg 200.59 Hg.upf
Ta 180.95 Ta.upf
ATOMIC_POSITIONS angstrom
K 0.000 0.000 0.000
Hg 1.693 -1.158 2.162
Hg -2.413 -0.318 1.719
Hg -0.437 -2.727 -1.118
Ta -1.158 -4.203 2.762
CELL_PARAMETERS angstrom
-0.875 -5.454 -2.236
3.385 -2.316 4.323
-4.826 -0.636 3.438



Most stable = a



a.
! KHg2Te2 | Alexandria via LeMat-Bulk | PBE-GGA | relaxed; values from VASP
! ρ in g/cm³: 7.409
! Total magnetization in μB per cell: 0.00
&SYSTEM
  ibrav = 0, nat = 10, ntyp = 3
/
ATOMIC_SPECIES
K 39.10 K.upf
Te 127.60 Te.upf
Hg 200.59 Hg.upf
ATOMIC_POSITIONS angstrom
K 0.000 0.000 0.000
K -3.714 -4.280 2.593
Te -2.326 -5.580 5.341
Te -6.389 -6.238 3.018
Te -5.102 -2.980 -0.156
Te -1.039 -2.322 2.168
Hg -1.728 -2.464 5.431
Hg -5.592 -5.181 5.903
Hg -7.435 -3.242 1.980
Hg -3.570 -0.525 1.509
CELL_PARAMETERS angstrom
-7.931 -3.341 -1.898
0.503 -5.219 7.084
-1.735 2.854 2.226



b.
! KHg2Te2 | Alexandria via LeMat-Bulk | PBE-GGA | relaxed; values from VASP
! ρ in g/cm³: 6.897
! Total magnetization in μB per cell: 0.00
&SYSTEM
  ibrav = 0, nat = 5, ntyp = 3
/
ATOMIC_SPECIES
K 39.10 K.upf
Te 127.60 Te.upf
Hg 200.59 Hg.upf
ATOMIC_POSITIONS angstrom
K 0.000 0.000 0.000
Te 5.450 2.725 2.819
Te 2.725 5.450 2.819
Hg 2.725 2.725 1.368
Hg 5.450 5.450 4.270
CELL_PARAMETERS angstrom
5.450 0.000 0.000
0.000 5.450 0.000
2.725 2.725 5.638



Most stable = b



a.
! KHg2Te2 | Alexandria via LeMat-Bulk | PBE-GGA | relaxed; values from VASP
! ρ in g/cm³: 6.386
! Total magnetization in μB per cell: 0.00
&SYSTEM
  ibrav = 0, nat = 5, ntyp = 3
/
ATOMIC_SPECIES
K 39.10 K.upf
Te 127.60 Te.upf
Hg 200.59 Hg.upf
ATOMIC_POSITIONS angstrom
K 0.000 0.000 0.000
Te -0.330 -0.926 -3.925
Te -1.843 -2.519 -8.268
Hg -1.871 -0.136 -6.405
Hg -0.302 -3.308 -5.788
CELL_PARAMETERS angstrom
-0.348 3.120 -3.994
2.790 -3.224 -2.761
-4.615 -3.340 -5.437



b.
! KHg2Te2 | Alexandria via LeMat-Bulk | PBE-GGA | relaxed; values from VASP
! ρ in g/cm³: 6.959
! Total magnetization in μB per cell: 0.00
&SYSTEM
  ibrav = 0, nat = 10, ntyp = 3
/
ATOMIC_SPECIES
K 39.10 K.upf
Te 127.60 Te.upf
Hg 200.59 Hg.upf
ATOMIC_POSITIONS angstrom
K 0.000 0.000 0.000
K -5.133 3.531 2.015
Te -4.214 2.387 5.533
Te -6.562 6.206 4.323
Te -3.707 6.817 0.712
Te -1.360 2.998 1.922
Hg -7.085 2.485 5.093
Hg -7.434 6.511 1.568
Hg -3.180 4.577 -1.063
Hg -2.831 0.550 2.463
CELL_PARAMETERS angstrom
-4.228 7.687 -2.962
-6.037 -0.625 6.993
2.343 2.142 2.215



c.
! KHg2Te2 | Alexandria via LeMat-Bulk | PBE-GGA | relaxed; values from VASP
! ρ in g/cm³: 6.509
! Total magnetization in μB per cell: 0.00
&SYSTEM
  ibrav = 0, nat = 10, ntyp = 3
/
ATOMIC_SPECIES
K 39.10 K.upf
Hg 200.59 Hg.upf
Te 127.60 Te.upf
ATOMIC_POSITIONS angstrom
K -7.136 7.649 -0.635
K -3.817 2.816 4.741
Hg -8.531 7.429 4.761
Hg -3.690 5.909 2.672
Hg -2.421 3.035 -0.655
Hg -7.262 4.556 1.434
Te -4.565 5.085 0.013
Te -9.614 7.891 2.094
Te -1.338 2.574 2.012
Te -6.387 5.380 4.093
CELL_PARAMETERS angstrom
-1.035 5.990 -0.055
-7.368 1.771 -3.251
-2.550 2.704 7.411



Most stable = c



a.
! K2Hg2Te | Alexandria via LeMat-Bulk | PBE-GGA | relaxed; values from VASP
! ρ in g/cm³: 4.796
! Total magnetization in μB per cell: 0.00
&SYSTEM
  ibrav = 0, nat = 10, ntyp = 3
/
ATOMIC_SPECIES
K 39.10 K.upf
Te 127.60 Te.upf
Hg 200.59 Hg.upf
ATOMIC_POSITIONS angstrom
K 2.995 7.411 0.000
K 7.411 5.839 0.000
K 5.839 1.422 0.000
K 1.422 2.995 0.000
Te 0.000 0.000 0.000
Te 4.417 4.417 0.000
Hg 1.255 5.672 2.694
Hg 5.672 7.578 2.694
Hg 7.578 3.161 2.694
Hg 3.161 1.255 2.694
CELL_PARAMETERS angstrom
8.833 0.000 0.000
0.000 8.833 0.000
0.000 0.000 5.387



b.
! K2Hg2Te | Alexandria via LeMat-Bulk | PBE-GGA | relaxed; values from VASP
! ρ in g/cm³: 5.559
! Total magnetization in μB per cell: 0.00
&SYSTEM
  ibrav = 0, nat = 10, ntyp = 3
/
ATOMIC_SPECIES
K 39.10 K.upf
Te 127.60 Te.upf
Hg 200.59 Hg.upf
ATOMIC_POSITIONS angstrom
K 1.584 5.887 2.449
K 5.887 7.021 2.449
K 7.021 2.718 2.449
K 2.718 1.584 2.449
Te 0.000 0.000 0.000
Te 4.302 4.302 0.000
Hg 3.239 7.541 0.000
Hg 7.541 5.366 0.000
Hg 5.366 1.064 0.000
Hg 1.064 3.239 0.000
CELL_PARAMETERS angstrom
8.605 0.000 0.000
0.000 8.605 0.000
0.000 0.000 4.898



Most stable = b



a.
! K3Hg2Te4 | Alexandria via LeMat-Bulk | PBE-GGA | relaxed; values from VASP
! ρ in g/cm³: 5.123
! Total magnetization in μB per cell: 0.00
&SYSTEM
  ibrav = 0, nat = 9, ntyp = 3
/
ATOMIC_SPECIES
K 39.10 K.upf
Hg 200.59 Hg.upf
Te 127.60 Te.upf
ATOMIC_POSITIONS angstrom
K -0.626 -2.919 3.129
K -3.575 0.734 5.781
K 0.000 0.000 0.000
Hg -3.321 -5.694 3.973
Hg -0.880 3.508 4.938
Te -2.793 -5.216 1.195
Te -0.645 0.784 3.486
Te -1.408 3.031 7.715
Te -3.557 -2.969 5.424
CELL_PARAMETERS angstrom
-4.827 0.065 -0.906
-0.496 -7.624 2.101
1.122 5.374 7.715



b.
! K3Hg2Te4 | Alexandria via LeMat-Bulk | PBE-GGA | relaxed; values from VASP
! ρ in g/cm³: 5.042
! Total magnetization in μB per cell: 0.00
&SYSTEM
  ibrav = 0, nat = 9, ntyp = 3
/
ATOMIC_SPECIES
K 39.10 K.upf
Hg 200.59 Hg.upf
Te 127.60 Te.upf
ATOMIC_POSITIONS angstrom
K 0.048 -6.877 2.192
K 0.000 0.000 0.000
K 1.923 -3.309 -3.642
Hg -0.881 -3.635 -0.626
Hg 2.852 -6.551 -0.825
Te -1.246 -1.975 -2.808
Te 3.217 -8.212 1.357
Te 0.697 -6.687 -2.676
Te 1.274 -3.500 1.226
CELL_PARAMETERS angstrom
-4.162 -1.733 -0.623
3.612 -0.141 -7.118
2.521 -8.312 6.290



Most stable = a



a.
! KThHg2 | Alexandria via LeMat-Bulk | PBE-GGA | relaxed; values from VASP
! ρ in g/cm³: 8.671
! Total magnetization in μB per cell: 0.00
&SYSTEM
  ibrav = 0, nat = 4, ntyp = 3
/
ATOMIC_SPECIES
K 39.10 K.upf
Hg 200.59 Hg.upf
Th 232.04 Th.upf
ATOMIC_POSITIONS angstrom
K 3.744 2.162 5.302
Hg 5.617 3.243 8.133
Hg 1.872 1.081 2.470
Th 0.000 0.000 0.000
CELL_PARAMETERS angstrom
3.744 0.000 0.000
1.872 3.243 0.000
1.872 1.081 10.603



b.
! KThHg2 | Alexandria via LeMat-Bulk | PBE-GGA | relaxed; values from VASP
! ρ in g/cm³: 8.825
! Total magnetization in μB per cell: 0.00
&SYSTEM
  ibrav = 0, nat = 4, ntyp = 3
/
ATOMIC_SPECIES
K 39.10 K.upf
Hg 200.59 Hg.upf
Th 232.04 Th.upf
ATOMIC_POSITIONS angstrom
K 0.060 -4.689 1.958
Hg 1.481 -3.976 5.252
Hg 0.404 -1.086 1.434
Th -0.883 -2.159 -1.385
CELL_PARAMETERS angstrom
-3.378 -1.776 -0.392
1.613 -2.542 -2.379
1.886 -5.061 6.687



Most stable = b



a.
! KTi3Hg | Alexandria via LeMat-Bulk | PBE-GGA | relaxed; values from VASP
! ρ in g/cm³: 6.642
! Total magnetization in μB per cell: 2.72
&SYSTEM
  ibrav = 0, nat = 5, ntyp = 3
/
ATOMIC_SPECIES
K 39.10 K.upf
Hg 200.59 Hg.upf
Ti 47.87 Ti.upf
ATOMIC_POSITIONS angstrom
K 0.000 0.000 0.000
Hg -1.611 -1.299 -3.380
Ti 1.092 -1.214 -1.603
Ti -1.793 -1.413 -0.151
Ti -0.910 1.328 -1.626
CELL_PARAMETERS angstrom
-1.819 2.656 -3.252
2.183 -2.429 -3.205
-3.587 -2.826 -0.302



b.
! KTi3Hg | Alexandria via LeMat-Bulk | PBE-GGA | relaxed; values from VASP
! ρ in g/cm³: 4.306
! Total magnetization in μB per cell: 5.11
&SYSTEM
  ibrav = 0, nat = 5, ntyp = 3
/
ATOMIC_SPECIES
K 39.10 K.upf
Hg 200.59 Hg.upf
Ti 47.87 Ti.upf
ATOMIC_POSITIONS angstrom
K -3.770 -0.614 2.526
Hg 0.000 0.000 0.000
Ti -0.599 -2.200 1.338
Ti -0.689 1.460 2.093
Ti -2.481 0.126 -0.905
CELL_PARAMETERS angstrom
-4.962 0.251 -1.810
-1.199 -4.400 2.675
-1.379 2.921 4.186



Most stable = b



a.
! KTl2Hg8 | Alexandria via LeMat-Bulk | PBE-GGA | relaxed; values from VASP
! ρ in g/cm³: 10.246
! Total magnetization in μB per cell: 0.00
&SYSTEM
  ibrav = 0, nat = 11, ntyp = 3
/
ATOMIC_SPECIES
K 39.10 K.upf
Tl 204.38 Tl.upf
Hg 200.59 Hg.upf
ATOMIC_POSITIONS angstrom
K 2.107 -0.372 -0.361
Tl -1.117 5.047 1.054
Tl -0.980 2.386 4.603
Hg 1.650 7.082 1.724
Hg 1.825 3.703 6.230
Hg 1.357 4.526 3.342
Hg 1.203 0.550 6.194
Hg 0.914 6.139 -1.258
Hg 0.759 2.163 1.593
Hg 0.291 2.987 -1.295
Hg 0.466 -0.393 3.211
CELL_PARAMETERS angstrom
4.214 -0.744 -0.721
-1.326 9.077 -4.318
-0.771 -1.644 9.975



b.
! KTl2Hg8 | Alexandria via LeMat-Bulk | PBE-GGA | relaxed; values from VASP
! ρ in g/cm³: 9.095
! Total magnetization in μB per cell: 0.00
&SYSTEM
  ibrav = 0, nat = 11, ntyp = 3
/
ATOMIC_SPECIES
K 39.10 K.upf
Tl 204.38 Tl.upf
Hg 200.59 Hg.upf
ATOMIC_POSITIONS angstrom
K 2.918 0.318 0.000
Tl 0.472 4.406 3.622
Tl 0.944 8.812 3.752
Hg 5.588 2.698 1.504
Hg 6.060 7.103 5.870
Hg 2.072 3.702 0.000
Hg 3.862 9.129 4.585
Hg 3.390 4.724 2.789
Hg 4.707 5.745 0.000
Hg 1.191 6.750 1.504
Hg 1.663 11.155 5.870
CELL_PARAMETERS angstrom
5.836 0.636 0.000
0.944 8.812 0.000
0.472 4.406 7.374



Most stable = a



a.
! KTl2Hg | Alexandria via LeMat-Bulk | PBE-GGA | relaxed; values from VASP
! ρ in g/cm³: 8.282
! Total magnetization in μB per cell: 0.00
&SYSTEM
  ibrav = 0, nat = 4, ntyp = 3
/
ATOMIC_SPECIES
K 39.10 K.upf
Tl 204.38 Tl.upf
Hg 200.59 Hg.upf
ATOMIC_POSITIONS angstrom
K -2.383 -6.235 1.483
Tl 0.002 -0.337 0.243
Tl -1.452 -2.796 2.162
Hg -0.932 -3.102 -0.922
CELL_PARAMETERS angstrom
-0.414 -3.071 -4.250
1.940 -2.695 1.758
-4.841 -3.572 3.052



b.
! KTl2Hg | Alexandria via LeMat-Bulk | PBE-GGA | relaxed; values from VASP
! ρ in g/cm³: 8.299
! Total magnetization in μB per cell: 0.00
&SYSTEM
  ibrav = 0, nat = 4, ntyp = 3
/
ATOMIC_SPECIES
K 39.10 K.upf
Tl 204.38 Tl.upf
Hg 200.59 Hg.upf
ATOMIC_POSITIONS angstrom
K 2.564 3.827 5.162
Tl 0.000 0.221 0.253
Tl 2.564 1.985 1.715
Hg 0.000 2.050 3.512
CELL_PARAMETERS angstrom
5.127 0.000 0.000
0.000 3.583 0.021
0.000 1.805 7.073



c.
! KTl2Hg | Alexandria via LeMat-Bulk | PBE-GGA | relaxed; values from VASP
! ρ in g/cm³: 8.624
! Total magnetization in μB per cell: 0.00
&SYSTEM
  ibrav = 0, nat = 4, ntyp = 3
/
ATOMIC_SPECIES
K 39.10 K.upf
Tl 204.38 Tl.upf
Hg 200.59 Hg.upf
ATOMIC_POSITIONS angstrom
K 0.000 0.000 0.000
Tl 1.983 1.983 1.983
Tl 5.950 5.950 5.950
Hg 3.967 3.967 3.967
CELL_PARAMETERS angstrom
0.000 3.967 3.967
3.967 0.000 3.967
3.967 3.967 0.000



Most stable = b



a.
! KTl2Hg | Alexandria via LeMat-Bulk | PBE-GGA | relaxed; values from VASP
! ρ in g/cm³: 8.235
! Total magnetization in μB per cell: 0.00
&SYSTEM
  ibrav = 0, nat = 8, ntyp = 3
/
ATOMIC_SPECIES
K 39.10 K.upf
Tl 204.38 Tl.upf
Hg 200.59 Hg.upf
ATOMIC_POSITIONS angstrom
K 1.792 1.948 1.280
K 3.025 3.289 5.910
Tl 4.234 4.603 0.305
Tl 0.583 0.634 6.885
Tl 2.617 0.063 4.277
Tl -0.155 2.614 4.277
Hg 0.883 3.914 -1.363
Hg 3.827 1.206 -1.363
CELL_PARAMETERS angstrom
5.127 0.010 -1.363
-0.417 5.110 -1.363
0.107 0.117 9.916



b.
! KTl2Hg | Alexandria via LeMat-Bulk | PBE-GGA | relaxed; values from VASP
! ρ in g/cm³: 7.961
! Total magnetization in μB per cell: 0.00
&SYSTEM
  ibrav = 0, nat = 8, ntyp = 3
/
ATOMIC_SPECIES
K 39.10 K.upf
Tl 204.38 Tl.upf
Hg 200.59 Hg.upf
ATOMIC_POSITIONS angstrom
K 0.000 0.000 3.207
K 2.590 3.366 4.550
Tl 0.000 1.714 6.704
Tl 0.000 5.017 6.704
Tl 2.590 1.651 1.053
Tl 2.590 5.080 1.053
Hg 0.000 3.366 2.000
Hg 2.590 0.000 5.757
CELL_PARAMETERS angstrom
5.181 0.000 0.000
0.000 6.731 0.000
0.000 0.000 7.757



Most stable = b